1.
Compound: Pm2Cd3Ni2
Source: Alexandria
Functional: PBE
Structure: relaxed

The space group is Cmmm (No. 65) and the conventional cell measures 3.9666, 20.7646 and 3.7650 Å, with angles of 90.00, 90.00 and 90.00 degrees. Symmetry generates all atoms from Pm at (0.0000, 0.1717, 0.0000), Cd at (0.0000, 0.0000, 0.0000), Cd at (0.0000, 0.4235, 0.5000) and Ni at (0.0000, 0.2860, 0.5000).

The value obtained for the total energy is -3.7132 eV per atom. The calculation puts the mass density at 8.0 g/cm3. As for the formation energy: -0.31 eV per atom.

2.
Compound: KTb2MnSe4
Source: Alexandria
Functional: PBE
Structure: relaxed

The space group is Cmcm (No. 63) and the conventional cell measures 4.1386, 14.2174 and 14.5074 Å, with angles of 90.00, 90.00 and 90.00 degrees. Symmetry generates all atoms from K at (0.0000, 0.1099, 0.2500), Tb at (0.0000, 0.3678, 0.0608), Mn at (0.0000, 0.1655, 0.7500), Se at (0.0000, 0.0000, 0.0000), Se at (0.0000, 0.2661, 0.6112) and Se at (0.0000, 0.4347, 0.2500).

The value obtained for the uncorrected formation energy is -1453.9 meV/atom. The value obtained for the total energy is -5.6371 eV per atom. The calculation puts the mass density at 5.7 g/cm3.

3.
Compound: LiFeRh5
Source: Alexandria
Functional: PBE
Structure: relaxed

The space group is C2/c (No. 15) and the conventional cell measures 6.6291, 7.0962 and 8.8123 Å, with angles of 90.00, 109.04 and 90.00 degrees. Symmetry generates all atoms from Li at (0.0000, 0.0000, 0.0000), Fe at (0.0000, 0.4898, 0.2500), Rh at (0.0000, 0.1386, 0.2500), Rh at (0.1072, 0.3448, 0.5384) and Rh at (0.2038, 0.1931, 0.8417).

The value obtained for the total energy is -6.6393 eV per atom. The calculation puts the mass density at 9.8 g/cm3. As for the formation energy: 0.09 eV per atom.

4.
Compound: Ho12ThIn3
Source: Alexandria
Functional: PBE
Structure: relaxed

The space group is P4/mmm (No. 123) and the conventional cell measures 4.8540, 4.8540 and 19.6061 Å, with angles of 90.00, 90.00 and 90.00 degrees. Symmetry generates all atoms from Ho at (0.0000, 0.0000, 0.0000), Ho at (0.0000, 0.0000, 0.2450), Ho at (0.0000, 0.0000, 0.5000), Ho at (0.0000, 0.5000, 0.1231), Ho at (0.0000, 0.5000, 0.3707), Th at (0.5000, 0.5000, 0.5000), In at (0.5000, 0.5000, 0.0000) and In at (0.5000, 0.5000, 0.2443).

The value obtained for the total energy is -4.5893 eV per atom. The calculation puts the mass density at 9.2 g/cm3. As for the formation energy: -0.18 eV per atom.

5.
Compound: Li2MgAgO4
Source: Alexandria
Functional: PBE
Structure: relaxed

The space group is C2/c (No. 15) and the conventional cell measures 8.5600, 8.4725 and 6.0994 Å, with angles of 90.00, 133.48 and 90.00 degrees. Symmetry generates all atoms from Li at (0.0000, 0.0000, 0.0000), Li at (0.2500, 0.2500, 0.0000), Mg at (0.0000, 0.5000, 0.0000), Ag at (0.2500, 0.2500, 0.5000), O at (0.0122, 0.2526, 0.5140) and O at (0.2356, 0.4921, 0.4795).

The value obtained for the uncorrected formation energy is -1334.5 meV/atom. The value obtained for the total energy is -4.8478 eV per atom. The calculation puts the mass density at 4.3 g/cm3.

6.
Compound: Mn2CrSb
Source: Alexandria
Functional: PBE
Structure: relaxed

The space group is R3m (No. 160, hexagonal axes) and the conventional cell measures 3.0928, 3.0928 and 24.1306 Å, with angles of 90.00, 90.00 and 120.00 degrees. Symmetry generates all atoms from Mn at (0.0000, 0.0000, 0.0000), Mn at (0.0000, 0.0000, 0.2576), Cr at (0.0000, 0.0000, 0.5214) and Sb at (0.0000, 0.0000, 0.7594).

The value obtained for the uncorrected formation energy is 475.8 meV/atom. The value obtained for the total energy is -7.5454 eV per atom. The calculation puts the mass density at 7.1 g/cm3.